No. 1
Below is CdNiRh at its PBEsol-relaxed geometry, with properties calculated at the meta-GGA SCAN level.

Computed properties:
Formation energy   310 meV/atom
Polymorph energy (0 for the lowest one)   0 meV per atom

Cell lengths 5.7829, 5.7829, 5.7829 Å; angles 90.00, 90.00, 90.00 degrees
With the nearest neighbours (Å) after each atom.
Space group F-43m (No. 216)
Unique sites:
Cd1 0.0000 0.0000 0.0000 x4  4 Ni 2.50
Ni1 0.2500 0.2500 0.2500 x4  4 Cd 2.50, 4 Rh 2.50
Rh1 0.0000 0.0000 0.5000 x4  4 Ni 2.50



No. 2
Below is CdNi2Rh at its PBEsol-relaxed geometry, with properties calculated at the meta-GGA SCAN level.

Computed properties:
Formation energy   127 meV/atom

Cell lengths 3.7488, 3.7488, 7.5541 Å; angles 90.00, 90.00, 90.00 degrees
With the nearest neighbours (Å) after each atom.
Space group I-4m2 (No. 119)
Unique sites:
Cd1 0.0000 0.0000 0.0000 x2  8 Ni 2.65-2.66, 4 Rh 2.66
Ni1 0.0000 0.0000 0.5000 x2  4 Cd 2.65, 4 Ni 2.66, 4 Rh 2.66
Ni2 0.0000 0.5000 0.2500 x2  4 Rh 2.65, 4 Cd 2.66, 4 Ni 2.66
Rh1 0.0000 0.5000 0.7500 x2  8 Ni 2.65-2.66, 4 Cd 2.66



No. 3
Below is CdNi2Rh at its PBEsol-relaxed geometry, with properties calculated at the meta-GGA SCAN level.

Computed properties:
Formation energy   128 meV/atom

Cell lengths 4.0808, 2.6702, 9.7428 Å; angles 90.00, 90.00, 90.00 degrees
With the nearest neighbours (Å) after each atom.
Space group Amm2 (No. 38)
Unique sites:
Cd1 0.0000 0.0000 0.0000 x2  7 Ni 2.52-2.70, 2 Cd 2.67
Ni1 0.0000 0.0000 0.2590 x2  4 Ni 2.40-2.67, 1 Cd 2.52, 4 Rh 2.61
Ni2 0.5000 0.0000 0.3885 x2  4 Ni 2.40-2.67, 3 Rh 2.56-2.68, 4 Cd 2.67
Rh1 0.5000 0.0000 0.6639 x2  7 Ni 2.56-2.68, 2 Rh 2.67



No. 4
Below is CdNi2Rh at its PBEsol-relaxed geometry, with properties calculated at the meta-GGA SCAN level.

Computed properties:
Formation energy   77 meV/atom

Cell lengths 2.7873, 2.7873, 6.8302 Å; angles 90.00, 90.00, 90.00 degrees
With the nearest neighbours (Å) after each atom.
Space group P4mm (No. 99)
Unique sites:
Cd1 0.0000 0.0000 0.0000 x1  4 Ni 2.71, 4 Cd 2.79, 4 Rh 2.84
Ni1 0.0000 0.0000 0.4746 x1  4 Ni 2.41, 4 Rh 2.50
Ni2 0.5000 0.5000 0.2726 x1  4 Ni 2.41
Rh1 0.5000 0.5000 0.7006 x1  4 Ni 2.50, 4 Rh 2.79



No. 5
Below is CdNi2Ru at its PBEsol-relaxed geometry, with properties calculated at the meta-GGA SCAN level.

Computed properties:
Formation energy   305 meV/atom

Cell lengths 2.6707, 4.3995, 8.9641 Å; angles 90.00, 90.00, 90.00 degrees
With the nearest neighbours (Å) after each atom.
Space group Imm2 (No. 44)
Unique sites:
Cd1 0.0000 0.0000 0.0000 x2  6 Ni 2.58-2.70, 2 Cd 2.67, 2 Ru 2.84
Ni1 0.0000 0.0000 0.4855 x2  4 Ni 2.41-2.67, 2 Ru 2.49, 4 Cd 2.58
Ni2 0.0000 0.5000 0.7614 x2  4 Ni 2.41-2.67, 4 Ru 2.60, 2 Cd 2.70
Ru1 0.0000 0.5000 0.2199 x2  6 Ni 2.49-2.60, 2 Ru 2.67



No. 6
Below is Cd2NiRu at its PBEsol-relaxed geometry, with properties calculated at the meta-GGA SCAN level.

Computed properties:
Formation energy   288 meV/atom

Cell lengths 2.8042, 2.8042, 27.4570 Å; angles 90.00, 90.00, 120.00 degrees
With the nearest neighbours (Å) after each atom.
Space group R3m (No. 160, hexagonal axes)
Unique sites:
Cd1 0.0000 0.0000 0.0000 x3  6 Cd 2.80, 3 Ru 2.87
Cd2 0.0000 0.0000 0.2342 x3  3 Ni 2.73, 6 Cd 2.80
Ni1 0.0000 0.0000 0.4875 x3  3 Ru 2.47, 3 Cd 2.73
Ru1 0.0000 0.0000 0.7530 x3  3 Ni 2.47



No. 7
Below is Cd2NiRu at its PBEsol-relaxed geometry, with properties calculated at the meta-GGA SCAN level.

Computed properties:
Formation energy   397 meV/atom

Cell lengths 6.2713, 6.2713, 6.2713 Å; angles 90.00, 90.00, 90.00 degrees
With the nearest neighbours (Å) after each atom.
Space group F-43m (No. 216)
Unique sites:
Cd1 0.0000 0.0000 0.0000 x4  4 Cd 2.72, 4 Ni 2.72
Cd2 0.2500 0.2500 0.2500 x4  4 Cd 2.72, 4 Ru 2.72
Ni1 0.2500 0.2500 0.7500 x4  4 Cd 2.72, 4 Ru 2.72
Ru1 0.0000 0.0000 0.5000 x4  4 Ni 2.72, 4 Cd 2.72



No. 8
Below is Cd2NiSb at its PBEsol-relaxed geometry, with properties calculated at the meta-GGA SCAN level.

Computed properties:
Formation energy without anion corrections   7 kJ/mol of atoms

Cell lengths 3.0583, 3.0583, 8.3423 Å; angles 90.00, 90.00, 90.00 degrees
With the nearest neighbours (Å) after each atom.
Space group P4mm (No. 99)
Unique sites:
Cd1 0.0000 0.0000 0.0000 x1  8 Cd 3.06-3.12
Cd2 0.5000 0.5000 0.2697 x1  4 Ni 2.77, 4 Cd 3.06
Ni1 0.0000 0.0000 0.4769 x1  4 Sb 2.64, 4 Cd 2.77
Sb1 0.5000 0.5000 0.6583 x1  4 Ni 2.64



No. 9
Below is CdNiSb2 at its PBEsol-relaxed geometry, with properties calculated at the meta-GGA SCAN level.

Computed properties:
Formation energy without anion corrections   7 kJ/mol of atoms

Cell lengths 3.2317, 4.1341, 12.7146 Å; angles 90.00, 90.00, 90.00 degrees
With the nearest neighbours (Å) after each atom.
Space group Imm2 (No. 44)
Unique sites:
Cd1 0.0000 0.0000 0.0000 x2  6 Sb 2.98-3.15, 2 Ni 3.03, 2 Cd 3.23
Ni1 0.0000 0.5000 0.2983 x2  6 Sb 2.61-2.66
Sb1 0.0000 0.0000 0.6372 x2  2 Ni 2.61
Sb2 0.0000 0.5000 0.8314 x2  4 Ni 2.66



No. 10
Below is Cd2NiSb at its PBEsol-relaxed geometry, with properties calculated at the meta-GGA SCAN level.

Computed properties:
Formation energy without anion corrections   4 kJ/mol of atoms

Cell lengths 3.0147, 4.1143, 12.7083 Å; angles 90.00, 90.00, 90.00 degrees
With the nearest neighbours (Å) after each atom.
Space group Immm (No. 71)
Unique sites:
Cd1 0.0000 0.0000 0.1877 x4  2 Ni 2.82, 6 Cd 3.00-3.01, 2 Sb 3.15
Ni1 0.0000 0.5000 0.5000 x2  4 Sb 2.55, 4 Cd 2.82
Sb1 0.0000 0.5000 0.0000 x2  4 Ni 2.55



No. 11
Below is CdNiSb2 at its PBEsol-relaxed geometry, with properties calculated at the meta-GGA SCAN level.

Computed properties:
Formation energy without anion corrections   16 kJ/mol of atoms

Cell lengths 3.2636, 3.2636, 27.6157 Å; angles 90.00, 90.00, 120.00 degrees
With the nearest neighbours (Å) after each atom.
Space group R3m (No. 160, hexagonal axes)
Unique sites:
Cd1 0.0000 0.0000 0.0000 x3  3 Ni 2.68
Ni1 0.0000 0.0000 0.2642 x3  3 Sb 2.51, 3 Cd 2.68
Sb1 0.0000 0.0000 0.5374 x3  3 Ni 2.51
Sb2 0.0000 0.0000 0.7612 x3  3 Cd 3.22, 9 Sb 3.26-3.56



No. 12
Below is Cd2NiSb at its PBEsol-relaxed geometry, with properties calculated at the meta-GGA SCAN level.

Computed properties:
Formation energy without anion corrections   25 kJ/mol of atoms

Cell lengths 3.1565, 3.1565, 27.5093 Å; angles 90.00, 90.00, 120.00 degrees
With the nearest neighbours (Å) after each atom.
Space group R-3m (No. 166, hexagonal axes)
Unique sites:
Cd1 0.0000 0.0000 0.2352 x6  3 Ni 2.62
Ni1 0.0000 0.0000 0.5000 x3  6 Cd 2.62
Sb1 0.0000 0.0000 0.0000 x3  6 Sb 3.16, 6 Cd 3.26



Computed values of total magnetic moment (unit: μB per formula unit) for the preceding records, in sequence: 1.4 2.0 2.0 2.0 1.6 0.0 2.1 0.0 0.0 0.0 0.0 0.0.